No. 1
Computed, not measured: crystalline Pm4Sm3Er5 at its relaxed geometry at the PBE level of DFT.

## Properties
**Energy relative to the elements**: 2.7 eV/f.u.

```
data_Pm4Sm3Er5
_symmetry_space_group_name_H-M 'C 1 2/m 1'
_symmetry_Int_Tables_number 12
_symmetry_space_group_name_Hall '-C 2y'
_cell_length_a 16.0602
_cell_length_b 5.9480
_cell_length_c 9.3485
_cell_angle_alpha 90.00
_cell_angle_beta 116.30
_cell_angle_gamma 90.00
loop_
_atom_site_label
_atom_site_fract_x
_atom_site_fract_y
_atom_site_fract_z
Pm1 0.0841 0.0000 0.4456
Pm2 0.2118 0.0000 0.8825
Sm1 0.0000 0.5000 0.0000
Sm2 0.2108 0.0000 0.2353
Er1 0.0000 0.0000 0.0000
Er2 0.0711 0.5000 0.6984
Er3 0.1714 0.5000 0.3853
```



No. 2
Computed, not measured: crystalline Pm4Sm19Er6 at its relaxed geometry at the PBE level of DFT.

## Properties
**Energy relative to the elements**: 10.9 eV/f.u.

```
data_Pm4Sm19Er6
_symmetry_space_group_name_H-M 'I 2 3'
_symmetry_Int_Tables_number 197
_symmetry_space_group_name_Hall 'I 2 2 3'
_cell_length_a 12.6157
_cell_length_b 12.6157
_cell_length_c 12.6157
_cell_angle_alpha 90.00
_cell_angle_beta 90.00
_cell_angle_gamma 90.00
loop_
_atom_site_label
_atom_site_fract_x
_atom_site_fract_y
_atom_site_fract_z
Pm1 0.1812 0.1812 0.1812
Sm1 0.0000 0.0000 0.0000
Sm2 0.0000 0.0000 0.2611
Sm3 0.0607 0.2800 0.7356
Er1 0.0000 0.1242 0.5000
```



No. 3
Computed, not measured: crystalline PmSm3Er5 at its relaxed geometry at the PBE level of DFT.

## Properties
**Energy relative to the elements**: 4.7 eV/f.u.

```
data_PmSm3Er5
_symmetry_space_group_name_H-M 'C 1 2/m 1'
_symmetry_Int_Tables_number 12
_symmetry_space_group_name_Hall '-C 2y'
_cell_length_a 15.2743
_cell_length_b 11.2921
_cell_length_c 9.9662
_cell_angle_alpha 90.00
_cell_angle_beta 130.60
_cell_angle_gamma 90.00
loop_
_atom_site_label
_atom_site_fract_x
_atom_site_fract_y
_atom_site_fract_z
Pm1 0.2475 0.0000 0.4039
Sm1 0.0000 0.0000 0.0000
Sm2 0.0000 0.5000 0.5000
Sm3 0.0080 0.5000 0.8082
Sm4 0.0233 0.0000 0.3638
Er1 0.0000 0.2597 0.0000
Er2 0.1532 0.2492 0.7516
Er3 0.2173 0.5000 0.2231
Er4 0.2243 0.0000 0.0397
```



Question: Which value of energy relative to the elements does entry 3 give?
Answer: 4.7 eV/f.u.